<w>
LaSc2Ag2: relaxed, GGA-PBE.

Summary:
M_tot = 0.0 μB per cell
D(E_F) = 15.67 states/eV/cell

Cell: 4.701 4.701 11.584 Å, 90.00 90.00 90.00°
Space group I4/mmm (No. 139)
Asymmetric unit:
La 0.000 0.000 0.000 x2
Sc 0.000 0.500 0.250 x4
Ag 0.000 0.000 0.384 x4

***

<x>
LaSc2Ag2: relaxed, GGA-PBE.

Summary:
M_tot = 0.0 μB per cell
D(E_F) = 8.82 states/eV/cell

Cell: 8.271 8.271 3.507 Å, 90.00 90.00 90.00°
Space group P4/mbm (No. 127)
Asymmetric unit:
La 0.000 0.000 0.000 x2
Sc 0.162 0.338 0.500 x4
Ag 0.126 0.626 0.000 x4

***

<y>
LaSc2Ag2: relaxed, GGA-PBE.

Summary:
M_tot = 2.0 μB per cell
D(E_F) = 7.10 states/eV/cell

Cell: 8.422 8.422 3.263 Å, 90.00 90.00 90.00°
Space group P4/mbm (No. 127)
Asymmetric unit:
La 0.000 0.000 0.000 x2
Sc 0.138 0.362 0.000 x4
Ag 0.156 0.656 0.500 x4

***

<y> ends up most stable, edging out the next structure by 5 meV/atom.

***

<w>
La2Sc2Ag: relaxed, GGA-PBE.

Summary:
M_tot = 0.0 μB per cell
D(E_F) = 15.91 states/eV/cell

Cell: 4.119 4.119 17.073 Å, 90.00 90.00 90.00°
Space group I4/mmm (No. 139)
Asymmetric unit:
La 0.000 0.500 0.250 x4
Sc 0.000 0.000 0.080 x4
Ag 0.000 0.000 0.500 x2

***

<x>
La2Sc2Ag: relaxed, GGA-PBE.

Summary:
M_tot = 0.0 μB per cell
D(E_F) = 10.67 states/eV/cell

Cell: 8.880 8.880 3.592 Å, 90.00 90.00 90.00°
Space group P4/mbm (No. 127)
Asymmetric unit:
La 0.186 0.314 0.000 x4
Sc 0.117 0.617 0.500 x4
Ag 0.000 0.000 0.500 x2

***

<x> ends up most stable, edging out the next structure by 329 meV/atom.